No. 1
# Ru2PtRh (meta-GGA SCAN, single point on PBEsol structure)
data_Ru2PtRh
_chemical_formula_sum 'Ru2 Pt1 Rh1'
_cell_length_a 2.684
_cell_length_b 3.787
_cell_length_c 5.403
_cell_angle_alpha 90.00
_cell_angle_beta 90.00
_cell_angle_gamma 90.00
_symmetry_space_group_name_H-M 'P m m 2'
_symmetry_Int_Tables_number 25
loop_
_symmetry_equiv_pos_as_xyz
'x,y,z'
'-x,-y,z'
'-x,y,z'
'x,-y,z'
loop_
_atom_site_label
_atom_site_type_symbol
_atom_site_fract_x
_atom_site_fract_y
_atom_site_fract_z
Ru1 Ru 0.000 0.000 0.000
Ru2 Ru 0.500 0.500 0.233
Pt1 Pt 0.000 0.000 0.494
Rh1 Rh 0.500 0.500 0.751
# V in Å³ per cell: 54.9
# Spin magnetization in Bohr magnetons per cell: 0.00
# Energy of formation in eV/atom: -0.004
# DOS(E_F) in states/eV/atom: 1.026
# Energy above the lowest structure with this stoichiometry in eV/f.u.: 0.03
# Crystal system: orthorhombic
# Total energy in eV per atom: -43.409

***

No. 2
# Ru2PtRh (meta-GGA SCAN, single point on PBEsol structure)
data_Ru2PtRh
_chemical_formula_sum 'Ru4 Pt2 Rh2'
_cell_length_a 3.779
_cell_length_b 3.779
_cell_length_c 7.678
_cell_angle_alpha 90.00
_cell_angle_beta 90.00
_cell_angle_gamma 90.00
_symmetry_space_group_name_H-M 'I 4/m m m'
_symmetry_Int_Tables_number 139
_symmetry_space_group_name_Hall '-I 4 2'
loop_
_atom_site_label
_atom_site_type_symbol
_atom_site_fract_x
_atom_site_fract_y
_atom_site_fract_z
Ru1 Ru 0.000 0.500 0.250
Pt1 Pt 0.000 0.000 0.000
Rh1 Rh 0.000 0.000 0.500
# V in Å³ per cell: 109.7
# Spin magnetization in Bohr magnetons per cell: 0.00
# Energy of formation in eV/atom: 0.032
# DOS(E_F) in states/eV/atom: 1.092
# Energy above the lowest structure with this stoichiometry in eV/f.u.: 0.17
# Crystal system: tetragonal
# Total energy in eV per atom: -43.372

***

No. 3
# Ru2PtRh (meta-GGA SCAN, single point on PBEsol structure)
data_Ru2PtRh
_chemical_formula_sum 'Ru2 Pt1 Rh1'
_cell_length_a 2.680
_cell_length_b 2.680
_cell_length_c 7.643
_cell_angle_alpha 90.00
_cell_angle_beta 90.00
_cell_angle_gamma 90.00
_symmetry_space_group_name_H-M 'P 4 m m'
_symmetry_Int_Tables_number 99
loop_
_symmetry_equiv_pos_as_xyz
'x,y,z'
'-y,x,z'
'-x,-y,z'
'y,-x,z'
'-x,y,z'
'y,x,z'
'x,-y,z'
'-y,-x,z'
loop_
_atom_site_label
_atom_site_type_symbol
_atom_site_fract_x
_atom_site_fract_y
_atom_site_fract_z
Ru1 Ru 0.000 0.000 0.000
Ru2 Ru 0.500 0.500 0.237
Pt1 Pt 0.000 0.000 0.494
Rh1 Rh 0.500 0.500 0.756
# V in Å³ per cell: 54.9
# Spin magnetization in Bohr magnetons per cell: 0.00
# Energy of formation in eV/atom: -0.012
# DOS(E_F) in states/eV/atom: 1.042
# Energy above the lowest structure with this stoichiometry in eV/f.u.: 0.00
# Crystal system: tetragonal
# Total energy in eV per atom: -43.416

***

No. 4
# RuPtRh2 (meta-GGA SCAN, single point on PBEsol structure)
data_RuPtRh2
_chemical_formula_sum 'Ru2 Pt2 Rh4'
_cell_length_a 8.937
_cell_length_b 2.684
_cell_length_c 4.662
_cell_angle_alpha 90.00
_cell_angle_beta 99.92
_cell_angle_gamma 90.00
_symmetry_space_group_name_H-M 'C 1 m 1'
_symmetry_Int_Tables_number 8
loop_
_symmetry_equiv_pos_as_xyz
'x,y,z'
'x,-y,z'
'x+1/2,y+1/2,z'
'x+1/2,-y+1/2,z'
loop_
_atom_site_label
_atom_site_type_symbol
_atom_site_fract_x
_atom_site_fract_y
_atom_site_fract_z
Ru1 Ru 0.000 0.000 0.000
Pt1 Pt 0.251 0.500 0.254
Rh1 Rh 0.003 0.500 0.510
Rh2 Rh 0.254 0.000 0.761
# V in Å³ per cell: 110.1
# Spin magnetization in Bohr magnetons per cell: 0.00
# Energy of formation in eV/atom: 0.001
# DOS(E_F) in states/eV/atom: 1.098
# Energy above the lowest structure with this stoichiometry in eV/f.u.: 0.19
# Crystal system: monoclinic
# Total energy in eV per atom: -43.140